Record 1
## Ce2SmAgC (PBE)

Data for a relaxed structure of Ce2SmAgC.

Cell: 4.9078 4.9077 5.0932 Å, 90.00 90.00 90.00°
Last column: magnetic moment on the atom in μB.
Fractional positions:
Ce: 0.0000 0.5000 0.9999  0.38
Ce: 0.5000 0.0000 0.0001  0.38
Sm: 0.0000 0.0000 0.5001  0.04
Ag: 0.5000 0.5000 0.4999  0.01
C: 0.0000 0.0000 0.0001  -0.03

Computed properties:
magnetization	1.0	μB per formula unit
space-group type	P4/mmm
ρ	7.45	g/cm³
energy relative to the elements	-0.065	eV per atom
calculated volume	122.7	Å³ per cell

Record 2
## LiAg2As (PBE)

Data for a relaxed structure of LiAg2As.

Cell: 2.9407 4.1473 5.7280 Å, 90.00 90.00 90.00°
Fractional positions:
Ag: 0.0000 0.0000 0.9937
Ag: 0.0000 0.0000 0.5063
As: 0.5000 0.5000 0.2500
Li: 0.5000 0.5000 0.7500

Computed properties:
magnetization	0.0	μB per formula unit
space-group type	Pmmm
ρ	7.07	g/cm³
energy relative to the elements	-0.083	eV per atom
calculated volume	69.9	Å³ per cell

Record 3
## ReMo (PBE)

Data for a relaxed structure of ReMo.

Cell: 3.1315 6.3193 3.1315 Å, 90.00 90.00 90.00°
Fractional positions:
Mo: 0.0000 0.9946 0.0000
Mo: 0.5000 0.2554 0.5000
Re: 0.0000 0.4909 0.0000
Re: 0.5000 0.7591 0.5000

Computed properties:
magnetization	0.0	μB per formula unit
space-group type	P4/nmm
ρ	15.12	g/cm³
energy relative to the elements	0.117	eV per atom
calculated volume	62.0	Å³ per cell

Record 4
## Nd2Ti2GaRh5 (PBE)

Data for a relaxed structure of Nd2Ti2GaRh5.

Cell: 3.1152 10.7004 10.7004 Å, 90.00 90.00 90.00°
Fractional positions:
Nd: 0.0000 0.6752 0.1752
Nd: 0.0000 0.3248 0.8248
Nd: 0.0000 0.1752 0.3248
Nd: 0.0000 0.8248 0.6752
Ti: 0.0000 0.1338 0.6338
Ti: 0.0000 0.8662 0.3662
Ti: 0.0000 0.6338 0.8662
Ti: 0.0000 0.3662 0.1338
Ga: 0.0000 0.0000 0.0000
Ga: 0.0000 0.5000 0.5000
Rh: 0.5000 0.1949 0.0514
Rh: 0.5000 0.8051 0.9486
Rh: 0.5000 0.0514 0.8051
Rh: 0.5000 0.6949 0.4486
Rh: 0.5000 0.9486 0.1949
Rh: 0.5000 0.3051 0.5514
Rh: 0.5000 0.5514 0.6949
Rh: 0.5000 0.4486 0.3051
Rh: 0.5000 0.5000 0.0000
Rh: 0.5000 0.0000 0.5000

Computed properties:
magnetization	0.0	μB per formula unit
space-group type	P4/mbm
ρ	9.02	g/cm³
energy relative to the elements	-0.557	eV per atom
calculated volume	356.7	Å³ per cell

Record 5
## Sb2Te (PBE)

Data for a relaxed structure of Sb2Te.

Cell: 5.5492 5.5492 3.1441 Å, 90.00 90.00 120.00°
Fractional positions:
Sb: 0.3333 0.6667 0.5000
Sb: 0.6667 0.3333 0.5000
Te: 0.0000 0.0000 0.0000

Computed properties:
magnetization	0.0	μB per formula unit
space-group type	P6/mmm
ρ	7.35	g/cm³
final energy	-3.5803	eV per atom
calculated volume	83.8	Å³ per cell

Record 6
## Cd2SiRh (PBE)

Data for a relaxed structure of Cd2SiRh.

Cell: 5.4861 5.4861 4.5772 Å, 63.83 63.83 36.37°
Fractional positions:
Cd: 0.9834 0.9834 0.0169
Cd: 0.7697 0.7697 0.7319
Rh: 0.5380 0.5380 0.4596
Si: 0.2089 0.2089 0.2916

Computed properties:
magnetization	0.0	μB per formula unit
space-group type	Cm
ρ	8.17	g/cm³
final energy	-3.7192	eV per atom
calculated volume	72.3	Å³ per cell

Record 7
## Cs2CaSeCl6 (PBE)

Data for a relaxed structure of Cs2CaSeCl6.

Cell: 8.1006 8.1006 7.7362 Å, 58.43 58.43 90.00°
Last column: magnetic moment on the atom in μB.
Fractional positions:
Cs: 0.7500 0.2500 0.5000  0.00
Cs: 0.2500 0.7500 0.5000  0.00
Ca: 0.5000 0.5000 0.0000  0.03
Se: 0.0000 0.0000 0.0000  0.92
Cl: 0.2284 0.2284 0.5432  0.04
Cl: 0.7716 0.7716 0.4568  0.04
Cl: 0.2653 0.2653 0.0000  0.10
Cl: 0.7347 0.7347 0.0000  0.10
Cl: 0.7347 0.2653 0.0000  0.10
Cl: 0.2653 0.7347 0.0000  0.10

Computed properties:
magnetization	2.0	μB per formula unit
space-group type	I4/mmm
ρ	2.91	g/cm³
final energy	-3.3053	eV per atom
calculated volume	341.2	Å³ per cell

Record 8
## Be2InTcN (PBE)

Data for a relaxed structure of Be2InTcN.

Cell: 4.5224 4.5224 4.0477 Å, 90.00 90.00 90.00°
Last column: magnetic moment on the atom in μB.
Fractional positions:
Be: 0.0000 0.5000 0.0000  -0.07
Be: 0.5000 0.0000 0.0000  -0.07
N: 0.0000 0.0000 0.5000  -0.27
Tc: 0.5000 0.5000 0.5000  2.35
In: 0.0000 0.0000 0.0000  -0.01

Computed properties:
magnetization	2.0	μB per formula unit
space-group type	P4/mmm
ρ	4.91	g/cm³
final energy	-3.7217	eV per atom
calculated volume	82.8	Å³ per cell